Record 1
A plane-wave DFT calculation with PBE-GGA was carried out for KFe3Ge5 after structural relaxation.

Summary:
The crystal system is hexagonal. The total moment is 4.97 μB/cell. For the total DFT energy (no corrections), the calculation gives -0.4075 Ry per atom.

Lattice parameters (Å, degrees): 4.8696 4.8696 8.5914 90.00 90.00 120.00
Space group P6/mmm (No. 191)
Unique sites:
K 0.0000 0.0000 0.0000 x1
Fe 0.0000 0.5000 0.5000 x3
Ge 0.0000 0.0000 0.5000 x1
Ge 0.3333 0.6667 0.2532 x4

Record 2
A plane-wave DFT calculation with PBE-GGA was carried out for K2FeGe3S8 after structural relaxation.

Summary:
The crystal system is monoclinic. The total moment is 16.09 μB/cell. For the total DFT energy (no corrections), the calculation gives -0.3466 Ry per atom.

Lattice parameters (Å, degrees): 7.173 12.112 16.936 90.00 96.72 90.00
Space group P2_1 (No. 4)
Unique sites:
K 0.213 0.000 0.078 x2
K 0.242 0.663 0.202 x2
K 0.243 0.618 0.576 x2
K 0.250 0.963 0.691 x2
Fe 0.005 0.315 0.092 x2
Fe 0.440 0.816 0.390 x2
Ge 0.052 0.293 0.599 x2
Ge 0.253 0.271 0.929 x2
Ge 0.266 0.247 0.266 x2
Ge 0.277 0.355 0.430 x2
Ge 0.319 0.377 0.770 x2
Ge 0.488 0.833 0.891 x2
S 0.001 0.384 0.478 x2
S 0.026 0.737 0.035 x2
S 0.033 0.178 0.188 x2
S 0.069 0.436 0.688 x2
S 0.201 0.691 0.392 x2
S 0.227 0.426 0.304 x2
S 0.230 0.935 0.890 x2
S 0.252 0.433 0.099 x2
S 0.277 0.197 0.806 x2
S 0.298 0.449 0.893 x2
S 0.299 0.176 0.391 x2
S 0.316 0.196 0.605 x2
S 0.406 0.910 0.268 x2
S 0.447 0.730 0.775 x2
S 0.481 0.930 0.501 x2
S 0.494 0.201 0.011 x2

Record 3
A plane-wave DFT calculation with PBE-GGA was carried out for KFeGeS3 after structural relaxation.

Summary:
The crystal system is monoclinic. The total moment is 6.06 μB/cell. For the total DFT energy (no corrections), the calculation gives -0.3633 Ry per atom.

Lattice parameters (Å, degrees): 7.932 3.384 10.517 90.00 107.87 90.00
Space group P2_1/m (No. 11)
Unique sites:
K 0.047 0.250 0.260 x2
Fe 0.481 0.750 0.890 x2
Ge 0.415 0.250 0.565 x2
S 0.208 0.750 0.555 x2
S 0.289 0.250 0.912 x2
S 0.394 0.750 0.218 x2

Record 4
A plane-wave DFT calculation with PBE-GGA was carried out for KFeGeSe3 after structural relaxation.

Summary:
The crystal system is monoclinic. The total moment is 6.40 μB/cell. For the total DFT energy (no corrections), the calculation gives -0.3350 Ry per atom.

Lattice parameters (Å, degrees): 8.310 3.557 10.975 90.00 107.83 90.00
Space group P2_1/m (No. 11)
Unique sites:
K 0.052 0.250 0.262 x2
Fe 0.479 0.750 0.893 x2
Ge 0.416 0.250 0.561 x2
Se 0.202 0.750 0.547 x2
Se 0.281 0.250 0.910 x2
Se 0.393 0.750 0.215 x2

Question: total moment of number 4 (KFeGeSe3)?
Answer: 6.40 μB/cell

Question: Look up the total moment of the fourth one.
Answer: 6.40 μB/cell

Question: What is the formula in the fourth record?
Answer: KFeGeSe3

Repeat the second record exactly.
A plane-wave DFT calculation with PBE-GGA was carried out for K2FeGe3S8 after structural relaxation.

Summary:
The crystal system is monoclinic. The total moment is 16.09 μB/cell. For the total DFT energy (no corrections), the calculation gives -0.3466 Ry per atom.

Lattice parameters (Å, degrees): 7.173 12.112 16.936 90.00 96.72 90.00
Space group P2_1 (No. 4)
Unique sites:
K 0.213 0.000 0.078 x2
K 0.242 0.663 0.202 x2
K 0.243 0.618 0.576 x2
K 0.250 0.963 0.691 x2
Fe 0.005 0.315 0.092 x2
Fe 0.440 0.816 0.390 x2
Ge 0.052 0.293 0.599 x2
Ge 0.253 0.271 0.929 x2
Ge 0.266 0.247 0.266 x2
Ge 0.277 0.355 0.430 x2
Ge 0.319 0.377 0.770 x2
Ge 0.488 0.833 0.891 x2
S 0.001 0.384 0.478 x2
S 0.026 0.737 0.035 x2
S 0.033 0.178 0.188 x2
S 0.069 0.436 0.688 x2
S 0.201 0.691 0.392 x2
S 0.227 0.426 0.304 x2
S 0.230 0.935 0.890 x2
S 0.252 0.433 0.099 x2
S 0.277 0.197 0.806 x2
S 0.298 0.449 0.893 x2
S 0.299 0.176 0.391 x2
S 0.316 0.196 0.605 x2
S 0.406 0.910 0.268 x2
S 0.447 0.730 0.775 x2
S 0.481 0.930 0.501 x2
S 0.494 0.201 0.011 x2